[1]
PRu2PtI | GGA-PBE | optimized geometry

Calculated values
symmetry = No. 123
formation energy without anion corrections = 1.304 eV per atom
electronic total energy = -25.032 eV/cell

a b c (Å): 5.166 4.305 5.166
angles (deg): 90.00 90.00 90.00
Sites, in units of the cell vectors:
I 0.500 0.500 0.500
Ru 0.000 0.000 0.500
Ru 0.500 0.000 0.000
Pt 0.000 0.000 0.000
P 0.000 0.500 0.000

---

[2]
P2PtSI | GGA-PBE | optimized geometry

Calculated values
symmetry = No. 123
formation energy without anion corrections = 0.694 eV per atom
electronic total energy = -19.067 eV/cell

a b c (Å): 4.686 4.686 4.989
angles (deg): 90.00 90.00 90.00
Sites, in units of the cell vectors:
I 0.500 0.500 0.500
P 0.000 0.500 0.000
P 0.500 0.000 0.000
S 0.000 0.000 0.500
Pt 0.000 0.000 0.000

---

[3]
PPtS2I | GGA-PBE | optimized geometry

Calculated values
symmetry = No. 123
formation energy without anion corrections = 1.718 eV per atom
electronic total energy = -12.667 eV/cell

a b c (Å): 4.936 4.936 5.239
angles (deg): 90.00 90.00 90.00
Sites, in units of the cell vectors:
I 0.000 0.000 0.000
P 0.000 0.000 0.500
S 0.000 0.500 0.000
S 0.500 0.000 0.000
Pt 0.500 0.500 0.500

---

[4]
PPtS2I | GGA-PBE | optimized geometry

Calculated values
symmetry = No. 123
formation energy without anion corrections = 0.621 eV per atom
electronic total energy = -18.150 eV/cell

a b c (Å): 4.884 4.884 4.585
angles (deg): 90.00 90.00 90.00
Sites, in units of the cell vectors:
I 0.500 0.500 0.500
P 0.000 0.000 0.500
S 0.000 0.500 0.000
S 0.500 0.000 0.000
Pt 0.000 0.000 0.000

---

[5]
Sm8PPt3I4 | GGA-PBE | optimized geometry

Calculated values
symmetry = No. 166
formation energy without anion corrections = -1.132 eV per atom
electronic total energy = -85.599 eV/cell

a b c (Å): 8.511 9.256 8.511
angles (deg): 117.37 120.00 90.00
Sites, in units of the cell vectors:
Sm 0.231 0.687 0.956
Sm 0.231 0.687 0.462
Sm 0.272 0.316 0.544
Sm 0.725 0.687 0.956
Sm 0.275 0.313 0.044
Sm 0.728 0.684 0.456
Sm 0.769 0.313 0.538
Sm 0.769 0.313 0.044
P 0.000 0.500 0.000
Pt 0.500 0.500 0.000
Pt 0.500 0.500 0.500
Pt 0.000 0.500 0.500
I 0.500 0.000 0.000
I 0.500 0.000 0.500
I 0.000 0.000 0.000
I 0.000 0.000 0.500

---

[6]
Sr8PPt3I3 | GGA-PBE | optimized geometry

Calculated values
symmetry = No. 166
formation energy without anion corrections = -1.050 eV per atom
electronic total energy = -57.386 eV/cell

a b c (Å): 8.964 8.961 9.570
angles (deg): 117.91 89.99 120.03
Sites, in units of the cell vectors:
Sr 0.266 0.532 0.299
Sr 0.734 0.468 0.701
Sr 0.767 0.535 0.305
Sr 0.233 0.465 0.695
Sr 0.767 0.037 0.305
Sr 0.233 0.963 0.695
Sr 0.269 0.037 0.305
Sr 0.731 0.963 0.695
P 0.000 0.000 0.500
Pt 0.500 0.000 0.500
Pt 0.500 0.500 0.500
Pt 0.000 0.500 0.500
I 0.000 0.000 0.000
I 0.000 0.500 0.000
I 0.500 0.500 0.000

---

[7]
Sr8PPt3I4 | GGA-PBE | optimized geometry

Calculated values
symmetry = No. 166
formation energy without anion corrections = -1.166 eV per atom
electronic total energy = -61.845 eV/cell

a b c (Å): 8.955 9.639 8.955
angles (deg): 117.70 120.00 90.00
Sites, in units of the cell vectors:
Sr 0.231 0.694 0.963
Sr 0.231 0.694 0.463
Sr 0.266 0.297 0.531
Sr 0.732 0.694 0.963
Sr 0.268 0.306 0.037
Sr 0.734 0.703 0.469
Sr 0.769 0.306 0.537
Sr 0.769 0.306 0.037
P 0.000 0.500 0.000
Pt 0.500 0.500 0.000
Pt 0.500 0.500 0.500
Pt 0.000 0.500 0.500
I 0.500 0.000 0.000
I 0.500 0.000 0.500
I 0.000 0.000 0.000
I 0.000 0.000 0.500

---

[8]
Sr6P2PtI3 | GGA-PBE | optimized geometry

Calculated values
symmetry = No. 12
formation energy without anion corrections = -1.284 eV per atom
electronic total energy = -47.014 eV/cell

a b c (Å): 7.783 7.783 8.446
angles (deg): 98.90 98.90 120.03
Sites, in units of the cell vectors:
Sr 0.934 0.599 0.804
Sr 0.731 0.731 0.197
Sr 0.066 0.401 0.196
Sr 0.599 0.934 0.804
Sr 0.269 0.269 0.803
Sr 0.401 0.066 0.196
P 0.334 0.666 0.000
P 0.666 0.334 0.000
Pt 0.000 0.000 0.000
I 0.168 0.832 0.500
I 0.832 0.168 0.500
I 0.500 0.500 0.500

---

[9]
TePPtI2 | GGA-PBE | optimized geometry

Calculated values
symmetry = No. 123
formation energy without anion corrections = 0.989 eV per atom
electronic total energy = -12.748 eV/cell

a b c (Å): 5.250 5.250 5.394
angles (deg): 90.00 90.00 90.00
Sites, in units of the cell vectors:
I 0.000 0.500 0.000
I 0.500 0.000 0.000
P 0.000 0.000 0.000
Te 0.000 0.000 0.500
Pt 0.500 0.500 0.500

---

[10]
TePPtI2 | GGA-PBE | optimized geometry

Calculated values
symmetry = No. 123
formation energy without anion corrections = 0.747 eV per atom
electronic total energy = -13.958 eV/cell

a b c (Å): 5.490 5.490 5.310
angles (deg): 90.00 90.00 90.00
Sites, in units of the cell vectors:
I 0.000 0.500 0.000
I 0.500 0.000 0.000
P 0.500 0.500 0.500
Te 0.000 0.000 0.500
Pt 0.000 0.000 0.000

---

[11]
YPPt2I | GGA-PBE | optimized geometry

Calculated values
symmetry = No. 123
formation energy without anion corrections = -0.220 eV per atom
electronic total energy = -26.605 eV/cell

a b c (Å): 4.565 5.532 4.565
angles (deg): 90.00 90.00 90.00
Sites, in units of the cell vectors:
I 0.000 0.500 0.000
Y 0.500 0.500 0.500
Pt 0.000 0.000 0.500
Pt 0.500 0.000 0.000
P 0.000 0.000 0.000

---

[12]
Pu2PI | GGA-PBE | optimized geometry

Calculated values
symmetry = No. 194
formation energy without anion corrections = -0.975 eV per atom
electronic total energy = -79.048 eV/cell

a b c (Å): 4.117 4.117 15.009
angles (deg): 90.00 90.00 120.00
Sites, in units of the cell vectors:
Pu 0.333 0.667 0.400
Pu 0.667 0.333 0.900
Pu 0.667 0.333 0.600
Pu 0.333 0.667 0.100
P 0.000 0.000 0.500
P 0.000 0.000 0.000
I 0.667 0.333 0.250
I 0.333 0.667 0.750

---

[13]
Pu2PI2 | GGA-PBE | optimized geometry

Calculated values
symmetry = No. 12
formation energy without anion corrections = -1.139 eV per atom
electronic total energy = -42.870 eV/cell

a b c (Å): 4.176 4.176 11.807
angles (deg): 80.93 79.81 60.00
Sites, in units of the cell vectors:
Pu 0.715 0.201 0.369
Pu 0.285 0.799 0.631
P 0.000 0.500 0.500
I 0.448 0.914 0.190
I 0.552 0.086 0.810

---

[14]
Pu4PI5 | GGA-PBE | optimized geometry

Calculated values
symmetry = No. 12
formation energy without anion corrections = -1.033 eV per atom
electronic total energy = -80.816 eV/cell

a b c (Å): 4.233 8.841 9.769
angles (deg): 102.02 102.51 90.00
Sites, in units of the cell vectors:
Pu 0.349 0.933 0.698
Pu 0.001 0.786 0.002
Pu 0.651 0.067 0.302
Pu 0.999 0.214 0.998
P 0.500 0.000 0.000
I 0.833 0.663 0.667
I 0.827 0.187 0.654
I 0.173 0.813 0.346
I 0.500 0.500 0.000
I 0.167 0.337 0.333

---

[15]
Pu2P2I | GGA-PBE | optimized geometry

Calculated values
symmetry = No. 74
formation energy without anion corrections = -0.842 eV per atom
electronic total energy = -90.484 eV/cell

a b c (Å): 4.085 7.559 9.338
angles (deg): 113.87 102.63 90.00
Sites, in units of the cell vectors:
Pu 0.658 0.158 0.316
Pu 0.658 0.658 0.316
Pu 0.342 0.842 0.684
Pu 0.342 0.342 0.684
P 0.837 0.547 0.595
P 0.242 0.953 0.405
P 0.163 0.453 0.405
P 0.758 0.047 0.595
I 0.666 0.750 0.000
I 0.334 0.250 0.000

---

[16]
Pu3PI3 | GGA-PBE | optimized geometry

Calculated values
symmetry = No. 11
formation energy without anion corrections = -0.996 eV per atom
electronic total energy = -120.061 eV/cell

a b c (Å): 4.183 8.791 12.200
angles (deg): 89.97 90.00 90.00
Sites, in units of the cell vectors:
Pu 0.250 0.332 0.616
Pu 0.750 0.668 0.384
Pu 0.250 0.902 0.610
Pu 0.750 0.098 0.390
Pu 0.250 0.885 0.147
Pu 0.750 0.115 0.853
P 0.250 0.881 0.378
P 0.750 0.119 0.622
I 0.250 0.382 0.361
I 0.750 0.618 0.639
I 0.250 0.850 0.879
I 0.750 0.150 0.121
I 0.250 0.379 0.875
I 0.750 0.621 0.125

---

[17]
Pu4P2I5 | GGA-PBE | optimized geometry

Calculated values
symmetry = No. 71
formation energy without anion corrections = -0.114 eV per atom
electronic total energy = -77.148 eV/cell

a b c (Å): 6.057 10.549 8.399
angles (deg): 128.90 111.14 90.00
Sites, in units of the cell vectors:
Pu 0.000 0.146 0.000
Pu 0.820 0.820 0.641
Pu 0.000 0.854 0.000
Pu 0.180 0.180 0.359
P 0.416 0.416 0.832
P 0.584 0.584 0.168
I 0.801 0.129 0.603
I 0.801 0.474 0.603
I 0.199 0.526 0.397
I 0.199 0.871 0.397
I 0.500 0.000 0.000

---

[18]
Rb4PI | GGA-PBE | optimized geometry

Calculated values
symmetry = No. 127
formation energy without anion corrections = -0.516 eV per atom
electronic total energy = -27.858 eV/cell

a b c (Å): 8.104 8.104 9.507
angles (deg): 90.00 89.99 90.00
Sites, in units of the cell vectors:
Rb 0.257 0.758 0.794
Rb 0.757 0.742 0.794
Rb 0.742 0.242 0.794
Rb 0.758 0.742 0.206
Rb 0.242 0.258 0.794
Rb 0.258 0.758 0.206
Rb 0.243 0.258 0.206
Rb 0.743 0.242 0.206
P 0.500 0.500 0.000
P 0.000 0.000 0.000
I 0.000 0.000 0.500
I 0.500 0.500 0.500

---

[19]
RbPI2 | GGA-PBE | optimized geometry

Calculated values
symmetry = No. 122
formation energy without anion corrections = -0.225 eV per atom
electronic total energy = -20.758 eV/cell

a b c (Å): 6.922 6.922 9.675
angles (deg): 69.04 69.04 90.00
Sites, in units of the cell vectors:
I 0.495 0.125 0.250
I 0.255 0.625 0.250
I 0.375 0.505 0.750
I 0.875 0.745 0.750
P 0.500 0.500 0.000
P 0.250 0.750 0.500
Rb 0.000 0.000 0.000
Rb 0.750 0.250 0.500

---

[20]
RbP3I | GGA-PBE | optimized geometry

Calculated values
symmetry = No. 221
formation energy without anion corrections = 1.784 eV per atom
electronic total energy = -9.828 eV/cell

a b c (Å): 6.743 6.743 6.743
angles (deg): 90.00 90.00 90.00
Sites, in units of the cell vectors:
I 0.500 0.500 0.500
P 0.000 0.500 0.000
P 0.000 0.000 0.500
P 0.500 0.000 0.000
Rb 0.000 0.000 0.000

---

[21]
RbPI2 | GGA-PBE | optimized geometry

Calculated values
symmetry = No. 225
formation energy without anion corrections = 0.118 eV per atom
electronic total energy = -9.007 eV/cell

a b c (Å): 5.950 5.950 5.950
angles (deg): 60.00 60.00 60.00
Sites, in units of the cell vectors:
I 0.250 0.250 0.250
I 0.750 0.750 0.750
P 0.000 0.000 0.000
Rb 0.500 0.500 0.500